[1]
Here is a geometry-optimized Ti2CuHOs structure from Alexandria. Energies are from PBE.

Summary:
Distance to the lowest polymorph of the same formula   0 meV/atom
Symmetry   No. 123

Cell: 4.285 4.285 3.301 Å, 90.00 90.00 90.00°
Atoms (fractional coordinates):
H 0.000 0.000 0.000
Os 0.500 0.500 0.500
Cu 0.000 0.000 0.500
Ti 0.000 0.500 0.000
Ti 0.500 0.000 0.000

[2]
Here is a geometry-optimized CeZrMn4 structure from Alexandria. Energies are from PBE.

Summary:
Calculated formation energy   0.03 eV per atom
Symmetry   No. 216

Cell: 5.071 5.071 5.071 Å, 60.00 60.00 60.00°
Atoms (fractional coordinates):
Mn 0.625 0.625 0.124
Mn 0.625 0.124 0.625
Mn 0.625 0.625 0.625
Mn 0.124 0.625 0.625
Zr 0.000 0.000 0.000
Ce 0.250 0.250 0.250

[3]
Here is a geometry-optimized LiDy2HgO structure from Alexandria. Energies are from PBE.

Summary:
Uncorrected formation energy   -1.377 eV per atom
Symmetry   No. 123

Cell: 4.090 4.830 4.830 Å, 90.00 90.00 90.00°
Atoms (fractional coordinates):
Li 0.500 0.000 0.000
Dy 0.000 0.000 0.500
Dy 0.000 0.500 0.000
Hg 0.500 0.500 0.500
O 0.000 0.000 0.000

[4]
Here is a geometry-optimized RbFeAsBr2 structure from Alexandria. Energies are from PBE.

Summary:
Distance to the lowest polymorph of the same formula   1357 meV/atom
Uncorrected formation energy   0.928 eV per atom
Symmetry   No. 123

Cell: 6.424 6.424 6.444 Å, 90.00 90.00 90.00°
Atoms (fractional coordinates):
As 0.000 0.000 0.500
Br 0.000 0.500 0.000
Br 0.500 0.000 0.000
Rb 0.000 0.000 0.000
Fe 0.500 0.500 0.500

[5]
Here is a geometry-optimized Mg2InPb2 structure from Alexandria. Energies are from PBE.

Summary:
Distance to the lowest polymorph of the same formula   147 meV/atom
Calculated formation energy   0.10 eV per atom
Symmetry   No. 139

Cell: 4.876 4.876 7.234 Å, 70.30 70.30 90.00°
Atoms (fractional coordinates):
Pb 0.385 0.385 0.230
Pb 0.615 0.615 0.770
Mg 0.750 0.250 0.500
Mg 0.250 0.750 0.500
In 0.000 0.000 0.000

[6]
Here is a geometry-optimized CuIrAu3 structure from Alexandria. Energies are from PBE.

Summary:
Distance to the lowest polymorph of the same formula   0 meV/atom
Calculated formation energy   1.19 eV per atom
Symmetry   No. 221

Cell: 4.642 4.642 4.642 Å, 90.00 90.00 90.00°
Atoms (fractional coordinates):
Ir 0.500 0.500 0.500
Au 0.000 0.500 0.000
Au 0.000 0.000 0.500
Au 0.500 0.000 0.000
Cu 0.000 0.000 0.000

We obtain E_tot values of -7.1954 -8.4977 -4.6521 -2.5568 -2.5660 -3.3722 eV per atom for the records listed above, in that order.